A plane-wave DFT calculation with GGA-PBE was carried out for a relaxed Ca13Rh2 crystal.

Cell lengths 6.789, 8.816, 10.426 Å; angles 65.25, 83.96, 82.19 degrees
Space group P-1 (No. 2)
Unique sites:
Ca  0.000  0.000  0.000 (multiplicity 1)
Ca  0.079  0.848  0.692 (multiplicity 2)
Ca  0.153  0.692  0.385 (multiplicity 2)
Ca  0.229  0.543  0.075 (multiplicity 2)
Ca  0.306  0.382  0.769 (multiplicity 2)
Ca  0.383  0.229  0.462 (multiplicity 2)
Ca  0.460  0.075  0.154 (multiplicity 2)
Rh  0.194  0.116  0.729 (multiplicity 2)

Summary:
- VASP energy: -2.89 eV/atom
- Calculated volume: 560.61 Å³ per cell
- Total magnetic moment: 0.000 μB/atom

A plane-wave DFT calculation with GGA-PBE was carried out for a relaxed Tm6Ga2Ru crystal.

Cell lengths 4.875, 6.896, 14.334 Å; angles 90.00, 90.00, 90.00 degrees
Space group Immm (No. 71)
Unique sites:
Tm  0.000  0.237  0.000 (multiplicity 4)
Tm  0.000  0.255  0.341 (multiplicity 8)
Ga  0.000  0.500  0.168 (multiplicity 4)
Ru  0.000  0.500  0.500 (multiplicity 2)

Summary:
- VASP energy: -4.98 eV/atom
- Calculated volume: 481.91 Å³ per cell
- Total magnetic moment: 0.000 μB/atom

A plane-wave DFT calculation with GGA-PBE was carried out for a relaxed Ga2ReHg crystal.

Cell lengths 2.8004, 2.8004, 34.3351 Å; angles 90.00, 90.00, 120.00 degrees
Space group R-3m (No. 166, hexagonal axes)
Unique sites:
Ga  0.0000  0.0000  0.0771 (multiplicity 6)
Re  0.0000  0.0000  0.0000 (multiplicity 3)
Hg  0.0000  0.0000  0.5000 (multiplicity 3)

Summary:
- VASP energy: -4.23 eV/atom
- Calculated volume: 233.19 Å³ per cell
- Total magnetic moment: 0.000 μB/atom

A plane-wave DFT calculation with GGA-PBE was carried out for a relaxed Al2IrPb crystal.

Cell lengths 4.231, 4.231, 8.136 Å; angles 90.00, 90.00, 90.00 degrees
Space group I-4m2 (No. 119)
Unique sites:
Al  0.000  0.000  0.000 (multiplicity 2)
Al  0.000  0.500  0.250 (multiplicity 2)
Ir  0.000  0.500  0.750 (multiplicity 2)
Pb  0.000  0.000  0.500 (multiplicity 2)

Summary:
- VASP energy: -4.79 eV/atom
- Calculated volume: 145.66 Å³ per cell
- Total magnetic moment: 0.000 μB/atom